# 1
Computed, not measured: a relaxed CaSmGa crystal at the PBE level of DFT.

Geometry as extended XYZ:
```
3
Lattice="-2.1723 -2.8291 3.6630 1.3391 -4.9004 0.5775 2.7310 -1.4407 4.0751" Properties=species:S:1:pos:R:3 pbc="T T T"
Ca 0.9489 -4.5851 4.1578
Ga 0.4745 -2.2925 2.0789
Sm 0.0000 0.0000 0.0000
```

Summary:
SG: F-43m, No. 216
M_tot: 0.00 μB/cell
Relative energy among the computed polymorphs: 0.166 eV/atom
Formation energy: -0.75 eV/f.u.
Density of states at the Fermi level: 1.62 states/eV/cell



# 2
Computed, not measured: a relaxed CaHg2PdN crystal at the PBE level of DFT.

Geometry as extended XYZ:
```
5
Lattice="5.2015 0.0000 0.0000 0.0000 5.4408 0.0000 0.0000 0.0000 5.2015" Properties=species:S:1:pos:R:3 pbc="T T T"
Ca 0.0000 2.7204 0.0000
Hg 0.0000 0.0000 2.6008
Hg 2.6008 0.0000 0.0000
Pd 0.0000 0.0000 0.0000
N 2.6008 2.7204 2.6008
```

Summary:
Formation energy (no corrections): 67.6 kJ/mol of atoms
SG: P4/mmm, No. 123
M_tot: 1.86 μB/cell
Density of states at the Fermi level: 3.86 states/eV/cell



# 3
Computed, not measured: a relaxed HRhS2 crystal at the PBE level of DFT.

Geometry as extended XYZ:
```
4
Lattice="1.8448 0.0000 7.1011 -0.9224 1.5976 7.1011 -0.9224 -1.5976 7.1011" Properties=species:S:1:pos:R:3 pbc="T T T"
H 0.0000 0.0000 20.7540
S 0.0000 0.0000 2.6777
S 0.0000 0.0000 13.4509
Rh 0.0000 0.0000 11.0710
```

Summary:
SG: R3m, No. 160
M_tot: 0.00 μB/cell
Relative energy among the computed polymorphs: 0.439 eV/atom
Density of states at the Fermi level: 2.61 states/eV/cell